## HgPdBr5 (PBE)

Data for a relaxed structure of HgPdBr5.

Geometry as POSCAR:
```
HgPdBr5
1.0
5.491 -7.562 0.000
5.491 7.562 0.000
-3.875 0.000 5.850
Hg Pd Br
2 2 10
Direct
0.000 0.500 0.000
0.500 0.000 0.500
0.056 0.944 0.750
0.944 0.056 0.250
0.003 0.348 0.299
0.099 0.216 0.724
0.216 0.099 0.224
0.339 0.661 0.250
0.348 0.003 0.799
0.652 0.997 0.201
0.661 0.339 0.750
0.784 0.901 0.776
0.901 0.784 0.276
0.997 0.652 0.701
```

The total magnetization is 0.9 μB per formula unit. As for the crystal system: monoclinic. The total energy is -2.214 eV/atom. The calculation puts the uncorrected formation energy at -234 meV/atom.